The following is a DFT calculation (PBE-GGA) of PrErTe2S after structural relaxation.

Output
Raw formation energy in eV per atom: -1.474
V in Å³/cell: 311.6
E_tot in eV per atom: -5.424
DOS at the Fermi energy in states/eV/atom: 0.2838

Unit cell a=4.457 b=4.457 c=15.684 alpha=90.00 beta=90.00 gamma=90.00
Space group P4/nmm (No. 129, origin choice 2)
Unique sites:
Pr (0.250, 0.250, 0.107)
Er (0.250, 0.250, 0.610)
Te (0.250, 0.250, 0.408)
Te (0.250, 0.250, 0.793)
S (0.250, 0.750, 0.000)